# 1
Cs2TbPb3Cl12: relaxed, PBE.

The structure belongs to space group R-3m (No. 166, hexagonal axes); the cell edges are 10.0876, 10.0876 and 25.3338 Å and the angles 90.00°, 90.00° and 120.00°. The distinct sites, in fractional coordinates, are Cs at (0.0000, 0.0000, 0.1000), Tb at (0.0000, 0.0000, 0.5000), Pb at (0.0000, 0.5000, 0.0000), Cl at (0.0490, 0.5245, 0.3639) and Cl at (0.0771, 0.5385, 0.1100).

The magnetization is 0.00 Bohr magnetons per cell. The formation energy from raw total energies is -1.49 eV per atom.

---

# 2
Cs2TePbCl6: relaxed, PBE.

The structure belongs to space group I4/mmm (No. 139); the cell edges are 7.717, 7.717 and 13.342 Å and the angles 90.00°, 90.00° and 90.00°. The distinct sites, in fractional coordinates, are Cs at (0.000, 0.500, 0.250), Te at (0.000, 0.000, 0.000), Pb at (0.000, 0.000, 0.500), Cl at (0.000, 0.000, 0.289) and Cl at (0.238, 0.238, 0.000).

The magnetization is 0.00 Bohr magnetons per cell. The formation energy from raw total energies is -1.24 eV per atom.

---

# 3
CsTiPbCl6: relaxed, PBE.

The structure belongs to space group P312 (No. 149); the cell edges are 7.1315, 7.1315 and 7.4722 Å and the angles 90.00°, 90.00° and 120.00°. The distinct sites, in fractional coordinates, are Cs at (0.0000, 0.0000, 0.0000), Ti at (0.6667, 0.3333, 0.5000), Pb at (0.3333, 0.6667, 0.5000) and Cl at (0.3959, 0.0480, 0.6922).

The magnetization is 1.00 Bohr magnetons per cell. The formation energy from raw total energies is -1.55 eV per atom.

---

# 4
Cs2TiPbCl6: relaxed, PBE.

The structure belongs to space group Fm-3m (No. 225); the cell edges are 10.843, 10.843 and 10.843 Å and the angles 90.00°, 90.00° and 90.00°. The distinct sites, in fractional coordinates, are Cs at (0.250, 0.250, 0.250), Ti at (0.000, 0.000, 0.000), Pb at (0.000, 0.000, 0.500) and Cl at (0.000, 0.000, 0.234).

The magnetization is 8.00 Bohr magnetons per cell. The formation energy from raw total energies is -1.56 eV per atom.

---

# 5
Cs2TlPb2Cl7: relaxed, PBE.

The structure belongs to space group C2/m (No. 12); the cell edges are 8.053, 8.050 and 14.852 Å and the angles 90.00°, 105.61° and 90.00°. The distinct sites, in fractional coordinates, are Cs at (0.176, 0.000, 0.362), Tl at (0.000, 0.000, 0.000), Pb at (0.100, 0.500, 0.200), Cl at (0.000, 0.500, 0.000), Cl at (0.156, 0.250, 0.812) and Cl at (0.205, 0.500, 0.399).

The magnetization is 0.00 Bohr magnetons per cell. The formation energy from raw total energies is -1.40 eV per atom.

---

# 6
Cs2TlPbCl6: relaxed, PBE.

The structure belongs to space group P4/mmm (No. 123); the cell edges are 5.654, 5.654 and 11.352 Å and the angles 90.00°, 90.00° and 90.00°. The distinct sites, in fractional coordinates, are Cs at (0.000, 0.000, 0.244), Tl at (0.500, 0.500, 0.000), Pb at (0.500, 0.500, 0.500), Cl at (0.000, 0.500, 0.000), Cl at (0.000, 0.500, 0.500) and Cl at (0.500, 0.500, 0.249).

The magnetization is 0.00 Bohr magnetons per cell. The formation energy from raw total energies is -1.40 eV per atom. The excess energy over the best structure of this formula in the dataset comes out at 0.0 meV/atom.

---

# 7
Cs3Tl2PbCl9: relaxed, PBE.

The structure belongs to space group P-3m1 (No. 164); the cell edges are 7.9722, 7.9722 and 9.7532 Å and the angles 90.00°, 90.00° and 120.00°. The distinct sites, in fractional coordinates, are Cs at (0.0000, 0.0000, 0.0000), Cs at (0.3333, 0.6667, 0.6612), Tl at (0.3333, 0.6667, 0.1587), Pb at (0.0000, 0.0000, 0.5000), Cl at (0.0000, 0.5000, 0.0000) and Cl at (0.1690, 0.3380, 0.3327).

The magnetization is 0.00 Bohr magnetons per cell. The formation energy from raw total energies is -1.36 eV per atom.

---

# 8
Cs2TlPbCl5: relaxed, PBE.

The structure belongs to space group P4/mmm (No. 123); the cell edges are 5.603, 5.603 and 11.931 Å and the angles 90.00°, 90.00° and 90.00°. The distinct sites, in fractional coordinates, are Cs at (0.000, 0.000, 0.218), Tl at (0.500, 0.500, 0.500), Pb at (0.500, 0.500, 0.000), Cl at (0.000, 0.000, 0.500), Cl at (0.000, 0.500, 0.000) and Cl at (0.500, 0.500, 0.244).

The magnetization is 0.00 Bohr magnetons per cell. The formation energy from raw total energies is -1.47 eV per atom.

---

# 9
CsTl2PbCl5: relaxed, PBE.

The structure belongs to space group Immm (No. 71); the cell edges are 5.585, 7.827 and 15.591 Å and the angles 90.00°, 90.00° and 90.00°. The distinct sites, in fractional coordinates, are Cs at (0.000, 0.000, 0.000), Tl at (0.000, 0.500, 0.214), Pb at (0.000, 0.000, 0.500), Cl at (0.000, 0.252, 0.365) and Cl at (0.000, 0.500, 0.000).

The magnetization is 0.00 Bohr magnetons per cell. The formation energy from raw total energies is -1.27 eV per atom.

---

# 10
Cs2TlPbCl6: relaxed, PBE.

The structure belongs to space group I4/mmm (No. 139); the cell edges are 8.016, 8.016 and 11.314 Å and the angles 90.00°, 90.00° and 90.00°. The distinct sites, in fractional coordinates, are Cs at (0.000, 0.500, 0.250), Tl at (0.000, 0.000, 0.000), Pb at (0.000, 0.000, 0.500), Cl at (0.000, 0.000, 0.252) and Cl at (0.248, 0.248, 0.500).

The magnetization is 0.00 Bohr magnetons per cell. The formation energy from raw total energies is -1.39 eV per atom. The excess energy over the best structure of this formula in the dataset comes out at 10.5 meV/atom.

---

# 11
Cs2TmPb3Cl12: relaxed, PBE.

The structure belongs to space group R-3m (No. 166, hexagonal axes); the cell edges are 10.0484, 10.0484 and 25.1436 Å and the angles 90.00°, 90.00° and 120.00°. The distinct sites, in fractional coordinates, are Cs at (0.0000, 0.0000, 0.1032), Tm at (0.0000, 0.0000, 0.5000), Pb at (0.0000, 0.5000, 0.0000), Cl at (0.0496, 0.5248, 0.3661) and Cl at (0.0813, 0.5407, 0.1106).

The magnetization is 0.00 Bohr magnetons per cell. The formation energy from raw total energies is -1.49 eV per atom.

---

# 12
CsUPbCl6: relaxed, PBE.

The structure belongs to space group Imma (No. 74); the cell edges are 9.953, 10.484 and 14.904 Å and the angles 90.00°, 90.00° and 90.00°. The distinct sites, in fractional coordinates, are Cs at (0.000, 0.250, 0.076), U at (0.000, 0.000, 0.500), Pb at (0.250, 0.250, 0.750), Cl at (0.000, 0.250, 0.442), Cl at (0.000, 0.250, 0.846) and Cl at (0.198, 0.040, 0.624).

The magnetization is 12.00 Bohr magnetons per cell. The formation energy from raw total energies is -1.53 eV per atom.